No. 1
VASP calculation (SCAN) on a crystal of LiYO2F relaxed with PBEsol.

Summary:
Energy relative to the elements, uncorrected (eV per atom): -2.749

```
data_LiYO2F
_symmetry_space_group_name_H-M 'P 4/m m m'
_symmetry_Int_Tables_number 123
_symmetry_space_group_name_Hall '-P 4 2'
_cell_length_a 3.665
_cell_length_b 3.665
_cell_length_c 3.541
_cell_angle_alpha 90.00
_cell_angle_beta 90.00
_cell_angle_gamma 90.00
loop_
_atom_site_label
_atom_site_fract_x
_atom_site_fract_y
_atom_site_fract_z
Li1 0.000 0.000 0.000
Y1 0.500 0.500 0.500
O1 0.000 0.500 0.000
F1 0.000 0.000 0.500
```


No. 2
VASP calculation (SCAN) on a crystal of CsTiCl3 relaxed with PBEsol.

Summary:
Energy relative to the elements, uncorrected (eV per atom): -1.947

```
data_CsTiCl3
_symmetry_space_group_name_H-M 'P 63/m m c'
_symmetry_Int_Tables_number 194
_symmetry_space_group_name_Hall '-P 6c 2c'
_cell_length_a 7.3592
_cell_length_b 7.3592
_cell_length_c 5.5257
_cell_angle_alpha 90.00
_cell_angle_beta 90.00
_cell_angle_gamma 120.00
loop_
_atom_site_label
_atom_site_fract_x
_atom_site_fract_y
_atom_site_fract_z
Cs1 0.3333 0.6667 0.2500
Ti1 0.0000 0.0000 0.0000
Cl1 0.1618 0.3235 0.7500
```


No. 3
VASP calculation (SCAN) on a crystal of CuAg7 relaxed with PBEsol.

Summary:
Formation energy from the elements (eV per atom): 0.05

```
data_CuAg7
_symmetry_space_group_name_H-M 'F m -3 m'
_symmetry_Int_Tables_number 225
_symmetry_space_group_name_Hall '-F 4 2 3'
_cell_length_a 8.008
_cell_length_b 8.008
_cell_length_c 8.008
_cell_angle_alpha 90.00
_cell_angle_beta 90.00
_cell_angle_gamma 90.00
loop_
_atom_site_label
_atom_site_fract_x
_atom_site_fract_y
_atom_site_fract_z
Cu1 0.000 0.000 0.000
Ag1 0.000 0.000 0.500
Ag2 0.000 0.250 0.250
```


No. 4
VASP calculation (SCAN) on a crystal of LiGdSe2 relaxed with PBEsol.

Summary:
Energy relative to the elements, uncorrected (eV per atom): -1.868

```
data_LiGdSe2
_symmetry_space_group_name_H-M 'R -3 m'
_symmetry_Int_Tables_number 166
_symmetry_space_group_name_Hall '-R 3 2"'
_cell_length_a 4.0550
_cell_length_b 4.0550
_cell_length_c 19.1180
_cell_angle_alpha 90.00
_cell_angle_beta 90.00
_cell_angle_gamma 120.00
loop_
_atom_site_label
_atom_site_fract_x
_atom_site_fract_y
_atom_site_fract_z
Li1 0.0000 0.0000 0.0000
Gd1 0.0000 0.0000 0.5000
Se1 0.0000 0.0000 0.2523
```


no.,spin magnetization (μB/f.u.),uncorrected energy (eV per atom)
1,1.000,-11.996
2,1.408,-17.502
3,0.000,-29.294
4,7.000,-27.209